Density functional theory data (PBE) for MgReSb4 after structural relaxation.

It has space group F-43m (No. 216), with a = 8.6276 Å, b = 8.6276 Å, c = 8.6276 Å, α = 90.00°, β = 90.00° and γ = 90.00°. The asymmetric unit holds Mg at (0.0000, 0.0000, 0.0000), Re at (0.2500, 0.2500, 0.7500) and Sb at (0.1249, 0.1249, 0.3751).

***

Density functional theory data (PBE) for MgRe2Sb after structural relaxation.

It has space group I-42d (No. 122), with a = 7.7420 Å, b = 7.7420 Å, c = 5.2447 Å, α = 90.00°, β = 90.00° and γ = 90.00°. The asymmetric unit holds Mg at (0.0000, 0.0000, 0.0000), Re at (0.2157, 0.7500, 0.6250) and Sb at (0.0000, 0.0000, 0.5000).

The energy above the most stable polymorph in this dataset comes out at 523 meV per atom.

***

Density functional theory data (PBE) for MgRe2Sb after structural relaxation.

It has space group P4/mmm (No. 123), with a = 3.2836 Å, b = 3.2836 Å, c = 6.3063 Å, α = 90.00°, β = 90.00° and γ = 90.00°. The asymmetric unit holds Mg at (0.0000, 0.0000, 0.0000), Re at (0.5000, 0.5000, 0.2668) and Sb at (0.0000, 0.0000, 0.5000).

The energy above the most stable polymorph in this dataset comes out at 64 meV per atom.

***

Raw formation energy (kcal/mol of atoms)
24.7, 26.1, 15.5
E_tot (Ry/atom)
-0.295, -0.479, -0.513